(1)
YSnW3 GGA-PBE relaxed; space group = No. 221; N(E_F) = 4.62 states/eV/f.u.; V = 115.8 Å³/f.u.; energy above the lowest structure with this stoichiometry = 828 meV/atom; energy of formation = 14.41 eV per formula unit; calculated density = 10.9 g/cm3
1.0
4.8737 0.0000 0.0000
0.0000 4.8737 0.0000
0.0000 0.0000 4.8737
Y Sn W
1 1 3
direct
0.0000 0.0000 0.0000
0.5000 0.5000 0.5000
0.0000 0.0000 0.5000
0.0000 0.5000 0.0000
0.5000 0.0000 0.0000



(2)
Y3SnW GGA-PBE relaxed; space group = No. 221; N(E_F) = 11.65 states/eV/f.u.; V = 177.2 Å³/f.u.; energy above the lowest structure with this stoichiometry = 746 meV/atom; energy of formation = 5.83 eV per formula unit; calculated density = 5.3 g/cm3
1.0
5.6167 0.0000 0.0000
0.0000 5.6167 0.0000
0.0000 0.0000 5.6167
Y Sn W
3 1 1
direct
0.0000 0.0000 0.5000
0.0000 0.5000 0.0000
0.5000 0.0000 0.0000
0.0000 0.0000 0.0000
0.5000 0.5000 0.5000



(3)
Y3SnW GGA-PBE relaxed; space group = No. 221; N(E_F) = 5.27 states/eV/f.u.; V = 155.4 Å³/f.u.; energy above the lowest structure with this stoichiometry = 0 meV/atom; energy of formation = 2.10 eV per formula unit; calculated density = 6.1 g/cm3
1.0
5.3766 0.0000 0.0000
0.0000 5.3766 0.0000
0.0000 0.0000 5.3766
Y Sn W
3 1 1
direct
0.0000 0.0000 0.5000
0.0000 0.5000 0.0000
0.5000 0.0000 0.0000
0.5000 0.5000 0.5000
0.0000 0.0000 0.0000



(4)
Y2SnW2 GGA-PBE relaxed; space group = No. 139; N(E_F) = 8.27 states/eV/f.u.; V = 127.6 Å³/f.u.; energy above the lowest structure with this stoichiometry = 885 meV/atom; energy of formation = 5.48 eV per formula unit; calculated density = 8.6 g/cm3
1.0
-2.2783 2.2783 6.1473
2.2783 -2.2783 6.1473
2.2783 2.2783 -6.1473
Y Sn W
2 1 2
direct
0.2500 0.7500 0.5000
0.7500 0.2500 0.5000
0.0000 0.0000 0.0000
0.4085 0.4085 0.0000
0.5915 0.5915 0.0000



(5)
Y2SnW2 GGA-PBE relaxed; space group = No. 127; N(E_F) = 3.94 states/eV/f.u.; V = 118.0 Å³/f.u.; energy above the lowest structure with this stoichiometry = 0 meV/atom; energy of formation = 1.06 eV per formula unit; calculated density = 9.3 g/cm3
1.0
7.2013 0.0000 0.0000
0.0000 7.2013 0.0000
0.0000 0.0000 4.5515
Y Sn W
4 2 4
direct
0.1741 0.3259 0.0000
0.3259 0.8259 0.0000
0.6741 0.1741 0.0000
0.8259 0.6741 0.0000
0.0000 0.0000 0.5000
0.5000 0.5000 0.5000
0.1181 0.6181 0.5000
0.3819 0.1181 0.5000
0.6181 0.8819 0.5000
0.8819 0.3819 0.5000



(6)
Y2Sn2W GGA-PBE relaxed; space group = No. 127; N(E_F) = 4.82 states/eV/f.u.; V = 121.9 Å³/f.u.; energy of formation = -0.94 eV per formula unit; calculated density = 8.2 g/cm3
1.0
7.4133 0.0000 0.0000
0.0000 7.4133 0.0000
0.0000 0.0000 4.4373
Y Sn W
4 4 2
direct
0.1737 0.3263 0.0000
0.3263 0.8263 0.0000
0.6737 0.1737 0.0000
0.8263 0.6737 0.0000
0.1387 0.6387 0.5000
0.3613 0.1387 0.5000
0.6387 0.8613 0.5000
0.8613 0.3613 0.5000
0.0000 0.0000 0.5000
0.5000 0.5000 0.5000



(7)
YSn3W GGA-PBE relaxed; space group = No. 221; N(E_F) = 6.28 states/eV/f.u.; V = 145.1 Å³/f.u.; energy above the lowest structure with this stoichiometry = 0 meV/atom; energy of formation = 2.08 eV per formula unit; calculated density = 7.2 g/cm3
1.0
5.2544 0.0000 0.0000
0.0000 5.2544 0.0000
0.0000 0.0000 5.2544
Y Sn W
1 3 1
direct
0.0000 0.0000 0.0000
0.0000 0.5000 0.5000
0.5000 0.0000 0.5000
0.5000 0.5000 0.0000
0.5000 0.5000 0.5000



(8)
ZnSnW3 GGA-PBE relaxed; space group = No. 221; N(E_F) = 5.98 states/eV/f.u.; V = 117.1 Å³/f.u.; energy above the lowest structure with this stoichiometry = 953 meV/atom; energy of formation = 13.89 eV per formula unit; calculated density = 10.4 g/cm3
1.0
4.8927 0.0000 0.0000
0.0000 4.8927 0.0000
0.0000 0.0000 4.8927
Zn Sn W
1 1 3
direct
0.0000 0.0000 0.0000
0.5000 0.5000 0.5000
0.0000 0.5000 0.5000
0.5000 0.0000 0.5000
0.5000 0.5000 0.0000



(9)
Zn3SnW GGA-PBE relaxed; space group = No. 221; N(E_F) = 2.67 states/eV/f.u.; V = 119.8 Å³/f.u.; energy above the lowest structure with this stoichiometry = 0 meV/atom; energy of formation = 4.95 eV per formula unit; calculated density = 6.9 g/cm3
1.0
4.9300 0.0000 0.0000
0.0000 4.9300 0.0000
0.0000 0.0000 4.9300
Zn Sn W
3 1 1
direct
0.0000 0.0000 0.5000
0.0000 0.5000 0.0000
0.5000 0.0000 0.0000
0.5000 0.5000 0.5000
0.0000 0.0000 0.0000



(10)
ZnSnW2 GGA-PBE relaxed; space group = No. 122; N(E_F) = 3.46 states/eV/f.u.; V = 74.0 Å³/f.u.; energy above the lowest structure with this stoichiometry = 0 meV/atom; energy of formation = 2.97 eV per formula unit; calculated density = 12.4 g/cm3
1.0
-1.9328 1.9328 9.9011
1.9328 -1.9328 9.9011
1.9328 1.9328 -9.9011
Zn Sn W
2 2 4
direct
0.0000 0.0000 0.0000
0.7500 0.2500 0.5000
0.2500 0.7500 0.5000
0.5000 0.5000 0.0000
0.1009 0.6250 0.9759
0.3750 0.3509 0.4759
0.6491 0.1250 0.0241
0.8750 0.8991 0.5241



(11)
ZnSn3W GGA-PBE relaxed; space group = No. 221; N(E_F) = 0.00 states/eV/f.u.; V = 147.8 Å³/f.u.; energy above the lowest structure with this stoichiometry = 0 meV/atom; energy of formation = 2.24 eV per formula unit; calculated density = 6.8 g/cm3
1.0
5.2874 0.0000 0.0000
0.0000 5.2874 0.0000
0.0000 0.0000 5.2874
Zn Sn W
1 3 1
direct
0.0000 0.0000 0.0000
0.0000 0.5000 0.5000
0.5000 0.0000 0.5000
0.5000 0.5000 0.0000
0.5000 0.5000 0.5000



(12)
ZnSn3W GGA-PBE relaxed; space group = No. 221; N(E_F) = 3.49 states/eV/f.u.; V = 133.2 Å³/f.u.; energy above the lowest structure with this stoichiometry = 881 meV/atom; energy of formation = 6.64 eV per formula unit; calculated density = 7.5 g/cm3
1.0
5.1069 0.0000 0.0000
0.0000 5.1069 0.0000
0.0000 0.0000 5.1069
Zn Sn W
1 3 1
direct
0.0000 0.0000 0.0000
0.0000 0.0000 0.5000
0.0000 0.5000 0.0000
0.5000 0.0000 0.0000
0.5000 0.5000 0.5000



Question: The highest energy of formation belongs to which entry?
Answer: YSnW3